a) # Pr3SiI3

A relaxed Pr3SiI3 crystal (PBE, the Alexandria database).

Cell and atoms, written as POSCAR:
```
Pr3SiI3
1.0
-1.482 2.014 3.587
-7.748 2.250 -4.464
-5.187 -10.845 3.945
I Pr Si
6 6 2
direct
0.250 0.862 0.880 I
0.750 0.616 0.634 I
0.750 0.629 0.125 I
0.250 0.371 0.875 I
0.250 0.384 0.366 I
0.750 0.138 0.120 I
0.750 0.676 0.379 Pr
0.250 0.899 0.615 Pr
0.250 0.882 0.158 Pr
0.750 0.118 0.842 Pr
0.750 0.101 0.385 Pr
0.250 0.324 0.621 Pr
0.250 0.883 0.381 Si
0.750 0.117 0.619 Si
```

Computed properties:
Its density of states at the Fermi level is 0.2580 states/eV/atom. The calculation puts the total magnetic moment at 0.0 μB per cell. Its density is 5.41 g cm⁻³.


b) # Pr3SiI3

A relaxed Pr3SiI3 crystal (PBE, the Alexandria database).

Cell and atoms, written as POSCAR:
```
Pr3SiI3
1.0
7.601 0.677 -0.816
-2.780 7.106 -0.816
-1.342 -2.167 9.680
Si Pr I
2 6 6
direct
0.884 0.884 0.892 Si
0.116 0.116 0.108 Si
0.509 0.145 0.206 Pr
0.491 0.855 0.794 Pr
0.145 0.509 0.206 Pr
0.166 0.166 0.828 Pr
0.834 0.834 0.172 Pr
0.855 0.491 0.794 Pr
0.397 0.397 0.629 I
0.168 0.832 0.500 I
0.603 0.603 0.371 I
0.832 0.168 0.500 I
0.334 0.666 0.000 I
0.666 0.334 0.000 I
```

Computed properties:
Its density of states at the Fermi level is 0.5694 states/eV/atom. The calculation puts the total magnetic moment at 0.0 μB per cell. Its density is 5.36 g cm⁻³.


The structure with the least stability is b).


a) # PrSmI4

A relaxed PrSmI4 crystal (PBE, the Alexandria database).

Cell and atoms, written as POSCAR:
```
PrSmI4
1.0
6.271 0.000 0.000
0.000 6.271 0.000
-3.135 -3.135 6.065
I Sm Pr
4 1 1
direct
0.762 0.762 0.525 I
0.983 0.483 0.967 I
0.517 0.017 0.033 I
0.238 0.238 0.475 I
0.500 0.500 0.000 Sm
0.250 0.750 0.500 Pr
```

Computed properties:
Its density of states at the Fermi level is 0.5103 states/eV/atom. The calculation puts the total magnetic moment at 0.0 μB per cell. Its density is 5.56 g cm⁻³.


b) # PrSmI4

A relaxed PrSmI4 crystal (PBE, the Alexandria database).

Cell and atoms, written as POSCAR:
```
PrSmI4
1.0
4.232 0.000 0.000
0.000 7.068 -1.945
0.000 -0.108 8.539
I Pr Sm
4 1 1
direct
0.000 0.241 0.746 I
0.500 0.754 0.751 I
0.500 0.246 0.249 I
0.000 0.759 0.254 I
0.000 0.500 0.500 Pr
0.500 0.000 0.500 Sm
```

Computed properties:
Its density of states at the Fermi level is 0.5911 states/eV/atom. The calculation puts the total magnetic moment at 0.0 μB per cell. Its density is 5.21 g cm⁻³.


The structure with the least stability is a).


a) # PrSmI3

A relaxed PrSmI3 crystal (PBE, the Alexandria database).

Cell and atoms, written as POSCAR:
```
PrSmI3
1.0
-3.726 1.163 -1.563
-6.470 -5.510 5.671
-3.705 6.483 8.001
Pr Sm I
2 2 6
direct
0.865 0.989 0.281 Pr
0.135 0.011 0.719 Pr
0.569 0.821 0.040 Sm
0.431 0.179 0.960 Sm
0.965 0.326 0.745 I
0.786 0.309 0.120 I
0.336 0.823 0.506 I
0.664 0.177 0.494 I
0.035 0.674 0.255 I
0.214 0.691 0.880 I
```

Computed properties:
Its density of states at the Fermi level is 0.0808 states/eV/atom. The calculation puts the total magnetic moment at 0.0 μB per cell. Its density is 5.14 g cm⁻³.


b) # PrSmI3

A relaxed PrSmI3 crystal (PBE, the Alexandria database).

Cell and atoms, written as POSCAR:
```
PrSmI3
1.0
-0.619 4.073 -1.033
-9.674 -3.722 -0.149
3.149 3.232 10.862
Pr I Sm
2 6 2
direct
0.082 0.163 0.251 Pr
0.918 0.837 0.749 Pr
0.196 0.392 0.128 I
0.362 0.725 0.534 I
0.638 0.275 0.466 I
0.077 0.153 0.762 I
0.923 0.847 0.238 I
0.804 0.608 0.872 I
0.423 0.846 0.032 Sm
0.577 0.154 0.968 Sm
```

Computed properties:
Its density of states at the Fermi level is 0.1757 states/eV/atom. The calculation puts the total magnetic moment at 0.0 μB per cell. Its density is 4.74 g cm⁻³.


The structure with the least stability is b).